Entry 1:
The following is a PBE calculation of an optimized crystal structure of Cs6ReAs4, from Alexandria via LeMat-Bulk.

Properties
V = 482.65 Å³/f.u.
E_tot = -0.268 Ry per atom
formation enthalpy at 0 K = -0.361 eV per atom
spin magnetization = 0.001 μB/f.u.

Cell lengths 8.8520, 11.2214, 11.2214 Å; angles 120.00, 90.00, 90.00 degrees
Closest atoms and distances in Å follow each position.
Element x y z (fractional)
Cs: 0.4564 0.7153 0.8577  4 As 3.61-3.88
Cs: 0.4564 0.1423 0.2847  4 As 3.61-3.88
Cs: 0.4564 0.1423 0.8577  4 As 3.61-3.88
Cs: 0.9564 0.2847 0.1423  4 As 3.61-3.88
Cs: 0.9564 0.8577 0.7153  4 As 3.61-3.88
Cs: 0.9564 0.8577 0.1423  4 As 3.61-3.88
Cs: 0.6387 0.9321 0.4660  5 As 3.66-3.93, 1 Re 4.01
Cs: 0.6387 0.5340 0.0679  5 As 3.66-3.93, 1 Re 4.01
Cs: 0.6387 0.5340 0.4660  5 As 3.66-3.93, 1 Re 4.01
Cs: 0.1387 0.0679 0.5340  5 As 3.66-3.93, 1 Re 4.01
Cs: 0.1387 0.4660 0.9321  5 As 3.66-3.93, 1 Re 4.01
Cs: 0.1387 0.4660 0.5340  5 As 3.66-3.93, 1 Re 4.01
Re: 0.7433 0.3333 0.6667  4 As 2.38-2.39
Re: 0.2433 0.6667 0.3333  4 As 2.38-2.39
As: 0.4733 0.3333 0.6667  1 Re 2.39
As: 0.9733 0.6667 0.3333  1 Re 2.39
As: 0.8301 0.5653 0.7826  1 Re 2.38
As: 0.8301 0.2174 0.4347  1 Re 2.38
As: 0.8301 0.2174 0.7826  1 Re 2.38
As: 0.3301 0.4347 0.2174  1 Re 2.38
As: 0.3301 0.7826 0.5653  1 Re 2.38
As: 0.3301 0.7826 0.2174  1 Re 2.38

---

Entry 2:
The following is a PBE calculation of an optimized crystal structure of LiIn2Au, from Alexandria via LeMat-Bulk.

Properties
V = 82.37 Å³/f.u.
E_tot = -0.215 Ry per atom
formation enthalpy at 0 K = -0.264 eV per atom
spin magnetization = 0.000 μB/f.u.

Cell lengths 3.6437, 3.6378, 6.2145 Å; angles 90.00, 90.00, 90.00 degrees
Closest atoms and distances in Å follow each position.
Element x y z (fractional)
Li: 0.0000 0.0000 0.5220  5 In 2.82-3.00, 4 Au 2.88
Au: 0.5000 0.5000 0.7292  5 In 2.83-2.99, 4 Li 2.88
In: 0.0000 0.0000 0.9754  1 Li 2.82, 4 Au 2.99
In: 0.5000 0.5000 0.2734  1 Au 2.83, 4 Li 3.00, 4 In 3.17

---

Entry 3:
The following is a PBE calculation of an optimized crystal structure of FeB3Pd, from Alexandria via LeMat-Bulk.

Properties
V = 62.80 Å³/f.u.
E_tot = -0.358 Ry per atom
energy above the most stable polymorph in this dataset = 1105 meV per atom
formation enthalpy at 0 K = 1.863 eV per atom
spin magnetization = 0.000 μB/f.u.

Cell lengths 3.9748, 3.9748, 3.9748 Å; angles 90.00, 90.00, 90.00 degrees
Closest atoms and distances in Å follow each position.
Element x y z (fractional)
B: 0.0000 0.5000 0.0000  2 Pd 1.99
B: 0.0000 0.0000 0.5000  2 Pd 1.99
B: 0.5000 0.0000 0.0000  2 Pd 1.99
Fe: 0.5000 0.5000 0.5000  12 B 2.81
Pd: 0.0000 0.0000 0.0000  6 B 1.99

---

Entry 4:
The following is a PBE calculation of an optimized crystal structure of ZnPdW2, from Alexandria via LeMat-Bulk.

Properties
V = 66.73 Å³/f.u.
E_tot = -0.552 Ry per atom
formation enthalpy at 0 K = 0.585 eV per atom
spin magnetization = 0.000 μB/f.u.

Cell lengths 3.6875, 3.6875, 10.1549 Å; angles 79.54, 79.54, 90.00 degrees
Closest atoms and distances in Å follow each position.
Element x y z (fractional)
Zn: 0.5000 0.5000 0.0000  4 Pd 2.61, 4 W 2.77
Zn: 0.2500 0.7500 0.5000  4 Pd 2.61, 4 W 2.77
Pd: 0.0000 0.0000 0.0000  4 Zn 2.61, 4 W 2.79
Pd: 0.7500 0.2500 0.5000  4 Zn 2.61, 4 W 2.79
W: 0.6172 0.1250 0.2500  4 W 2.57-2.65, 2 Zn 2.77, 2 Pd 2.79
W: 0.1328 0.6250 0.2500  4 W 2.57-2.65, 2 Zn 2.77, 2 Pd 2.79
W: 0.3750 0.3828 0.7500  4 W 2.57-2.65, 2 Zn 2.77, 2 Pd 2.79
W: 0.8750 0.8672 0.7500  4 W 2.57-2.65, 2 Zn 2.77, 2 Pd 2.79

---

Entry 5:
The following is a PBE calculation of an optimized crystal structure of LiNdSBr, from Alexandria via LeMat-Bulk.

Properties
V = 100.54 Å³/f.u.
E_tot = -0.346 Ry per atom
raw formation energy = -6.37 eV/f.u.
spin magnetization = 0.000 μB/f.u.

Cell lengths 4.0096, 4.0096, 14.6260 Å; angles 82.12, 82.12, 60.00 degrees
Closest atoms and distances in Å follow each position.
Element x y z (fractional)
Li: 0.6869 0.6869 0.9394  4 S 2.44-2.51
Li: 0.3131 0.3131 0.0606  4 S 2.44-2.51
Nd: 0.0785 0.0785 0.7644  3 S 2.91, 3 Br 3.00
Nd: 0.9215 0.9215 0.2356  3 S 2.91, 3 Br 3.00
S: 0.6289 0.6289 0.1134  4 Li 2.44-2.51
S: 0.3711 0.3711 0.8866  4 Li 2.44-2.51
Br: 0.7891 0.7891 0.6326  3 Nd 3.00
Br: 0.2109 0.2109 0.3674  3 Nd 3.00

---

Entry 6:
The following is a PBE calculation of an optimized crystal structure of In2TcTe, from Alexandria via LeMat-Bulk.

Properties
V = 87.54 Å³/f.u.
E_tot = -0.311 Ry per atom
raw formation energy = 2.04 eV/f.u.
spin magnetization = 0.000 μB/f.u.

Cell lengths 4.8511, 4.8511, 3.7200 Å; angles 90.00, 90.00, 90.00 degrees
Closest atoms and distances in Å follow each position.
Element x y z (fractional)
In: 0.0000 0.0000 0.0000  4 Tc 3.06, 4 Te 3.06
In: 0.5000 0.5000 0.0000  4 Tc 3.06, 4 Te 3.06
Tc: 0.5000 0.0000 0.5000  8 In 3.06
Te: 0.0000 0.5000 0.5000  8 In 3.06

---

Entry 7:
The following is a PBE calculation of an optimized crystal structure of LaPrNdCd, from Alexandria via LeMat-Bulk.

Properties
V = 131.67 Å³/f.u.
E_tot = -0.294 Ry per atom
energy above the most stable polymorph in this dataset = 0 meV per atom
formation enthalpy at 0 K = -0.155 eV per atom
spin magnetization = 0.000 μB/f.u.

Cell lengths 3.7912, 3.7912, 9.1609 Å; angles 90.00, 90.00, 90.00 degrees
Closest atoms and distances in Å follow each position.
Element x y z (fractional)
La: 0.5000 0.5000 0.7954  4 Cd 3.41, 4 Pr 3.71, 4 La 3.79
Pr: 0.0000 0.0000 0.0755  4 Nd 3.67, 4 La 3.71, 4 Pr 3.79
Nd: 0.5000 0.5000 0.3491  4 Cd 3.33, 4 Pr 3.67
Cd: 0.0000 0.0000 0.5647  4 Nd 3.33, 4 La 3.41

---

Entry 8:
The following is a PBE calculation of an optimized crystal structure of Ce3Ho2ErS6, from Alexandria via LeMat-Bulk.

Properties
V = 262.01 Å³/f.u.
E_tot = -0.493 Ry per atom
raw formation energy = -24.25 eV/f.u.
spin magnetization = 2.472 μB/f.u.

Cell lengths 6.8012, 6.8012, 6.9258 Å; angles 99.43, 99.43, 120.04 degrees
Closest atoms and distances in Å follow each position.
Element x y z (fractional)
Ce: 0.1671 0.8329 0.5000  6 S 2.85
Ce: 0.8329 0.1671 0.5000  6 S 2.85
Ce: 0.5000 0.5000 0.5000  6 S 2.85-2.86
Ho: 0.3334 0.6666 0.0000  6 S 2.74
Ho: 0.6666 0.3334 0.0000  6 S 2.74
Er: 0.0000 0.0000 0.0000  6 S 2.73-2.74
S: 0.9216 0.5893 0.7648  1 Er 2.73, 2 Ho 2.74, 3 Ce 2.85
S: 0.7464 0.7464 0.2357  1 Er 2.74, 2 Ho 2.74, 3 Ce 2.85-2.86
S: 0.0784 0.4107 0.2352  1 Er 2.73, 2 Ho 2.74, 3 Ce 2.85
S: 0.5893 0.9216 0.7648  1 Er 2.73, 2 Ho 2.74, 3 Ce 2.85
S: 0.2536 0.2536 0.7643  1 Er 2.74, 2 Ho 2.74, 3 Ce 2.85-2.86
S: 0.4107 0.0784 0.2352  1 Er 2.73, 2 Ho 2.74, 3 Ce 2.85

---

Entry 9:
The following is a PBE calculation of an optimized crystal structure of AlRu2Rh, from Alexandria via LeMat-Bulk.

Properties
V = 57.18 Å³/f.u.
E_tot = -0.539 Ry per atom
formation enthalpy at 0 K = 0.083 eV per atom
spin magnetization = 0.002 μB/f.u.

Cell lengths 2.7212, 2.7212, 8.6972 Å; angles 90.00, 90.00, 117.40 degrees
Closest atoms and distances in Å follow each position.
Element x y z (fractional)
Ru: 0.0000 0.0000 0.0115  2 Al 2.51, 2 Rh 2.68, 4 Ru 2.72
Ru: 0.0000 0.0000 0.4885  2 Al 2.51, 2 Rh 2.68, 4 Ru 2.72
Rh: 0.5000 0.5000 0.7500  4 Ru 2.68, 6 Rh 2.72-2.83
Al: 0.5000 0.5000 0.2500  4 Ru 2.51, 4 Al 2.72

---

Entry 10:
The following is a PBE calculation of an optimized crystal structure of BaTiH2Br, from Alexandria via LeMat-Bulk.

Properties
V = 164.94 Å³/f.u.
E_tot = -0.237 Ry per atom
spin magnetization = 2.990 μB/f.u.

Cell lengths 4.5894, 4.5894, 7.8308 Å; angles 90.00, 90.00, 90.00 degrees
Closest atoms and distances in Å follow each position.
Element x y z (fractional)
H: 0.0000 0.5000 0.0000  2 Ba 2.29
H: 0.5000 0.0000 0.0000  2 Ba 2.29
Ba: 0.0000 0.0000 0.0000  4 H 2.29
Br: 0.5000 0.5000 0.5000  4 Ti 3.25
Ti: 0.0000 0.0000 0.5000  4 Br 3.25

---

Entry 11:
The following is a PBE calculation of an optimized crystal structure of AcCd4, from Alexandria via LeMat-Bulk.

Properties
V = 282.68 Å³/f.u.
E_tot = -0.063 Ry per atom
energy above the most stable polymorph in this dataset = 951 meV per atom
formation enthalpy at 0 K = 0.694 eV per atom
spin magnetization = 0.000 μB/f.u.

Cell lengths 6.5630, 6.5630, 6.5630 Å; angles 90.00, 90.00, 90.00 degrees
Closest atoms and distances in Å follow each position.
Element x y z (fractional)
Ac: 0.5000 0.5000 0.5000  6 Cd 3.28
Cd: 0.0000 0.0000 0.0000  12 Cd 4.64
Cd: 0.5000 0.0000 0.5000  2 Ac 3.28
Cd: 0.0000 0.5000 0.5000  2 Ac 3.28
Cd: 0.5000 0.5000 0.0000  2 Ac 3.28

---

Entry 12:
The following is a PBE calculation of an optimized crystal structure of TbPrPaN3, from Alexandria via LeMat-Bulk.

Properties
V = 96.84 Å³/f.u.
E_tot = -0.644 Ry per atom
raw formation energy = -8.66 eV/f.u.
spin magnetization = 0.000 μB/f.u.

Cell lengths 3.5484, 6.0711, 9.1976 Å; angles 102.18, 90.00, 90.00 degrees
Closest atoms and distances in Å follow each position.
Element x y z (fractional)
Tb: 0.2500 0.1442 0.6375  5 N 2.37-2.54
Tb: 0.7500 0.8558 0.3625  5 N 2.37-2.54
Pr: 0.7500 0.6540 0.6891  7 N 2.61-2.83
Pr: 0.2500 0.3460 0.3109  7 N 2.61-2.83
Pa: 0.2500 0.7649 0.0452  6 N 2.27-2.49
Pa: 0.7500 0.2351 0.9548  6 N 2.27-2.49
N: 0.2500 0.7550 0.5062  3 Tb 2.37-2.42, 2 Pr 2.61
N: 0.7500 0.0333 0.1366  3 Pa 2.27-2.44, 1 Tb 2.54
N: 0.7500 0.5472 0.1420  3 Pa 2.28-2.49, 1 Tb 2.45
N: 0.7500 0.2450 0.4938  3 Tb 2.37-2.42, 2 Pr 2.61
N: 0.2500 0.4528 0.8580  3 Pa 2.28-2.49, 1 Tb 2.45
N: 0.2500 0.9667 0.8634  3 Pa 2.27-2.44, 1 Tb 2.54